# 1
8
Lattice="-6.413 0.030 -0.079 -3.898 -1.671 -4.784 4.219 -2.559 5.589" Properties=species:S:1:pos:R:3 comment="PH5Br2 (PBE, optimized geometry)" volume_a3_per_atom=17.14 pbc="T T T"
Br -3.973 -1.292 2.082
Br -2.750 -2.147 -0.287
H -2.840 -2.619 3.954
H -6.089 -1.507 -0.216
H -4.505 -3.913 0.211
H -4.335 -1.400 -3.941
H -6.048 -2.475 0.019
P -2.016 -2.440 5.103


# 2
10
Lattice="7.505 0.000 0.000 3.752 5.172 0.000 3.752 0.000 5.172" Properties=species:S:1:pos:R:3 comment="PH5Br4 (PBE, optimized geometry)" volume_a3_per_atom=20.07 pbc="T T T"
Br 4.045 1.003 1.979
Br 7.797 1.979 4.169
Br 7.797 3.192 1.003
Br 11.550 4.169 3.192
H 7.638 1.569 0.489
H 11.390 4.683 1.569
H 1.772 0.000 0.000
H 7.638 3.603 4.683
H 3.886 0.489 3.603
P 0.353 0.000 0.000


# 3
3
Lattice="3.204 0.000 0.000 -1.512 4.151 0.000 -1.568 -1.727 5.245" Properties=species:S:1:pos:R:3 comment="PHBr (PBE, optimized geometry)" volume_a3_per_atom=23.25 pbc="T T T"
H 0.609 0.625 4.299
Br -1.030 2.613 1.768
P -2.598 1.862 5.032


# 4
8
Lattice="4.444 0.000 0.000 0.000 4.444 0.000 2.222 2.222 7.211" Properties=species:S:1:pos:R:3 comment="P2HBr (PBE, optimized geometry)" volume_a3_per_atom=17.80 pbc="T T T"
H 2.222 4.444 3.605
H 2.222 2.222 0.000
P 2.418 1.111 1.803
P 2.025 3.333 1.803
P 5.555 4.640 5.408
P 3.333 4.247 5.408
Br 4.444 2.222 3.605
Br 0.000 0.000 0.000


Here are the calculated raw total energy numbers, same order: -3.14; -2.80; -3.39; -3.16 (eV per atom).